# 1
The following is a PBE-GGA calculation of crystalline YSbPd6 at its relaxed geometry, from Alexandria via LeMat-Bulk.

Lattice parameters (Å, degrees): 5.766 5.766 4.117 90.00 90.00 90.00
Fractional positions:
1 Y 0.000 0.000 0.000
2 Sb 0.500 0.500 0.000
3 Pd 0.000 0.500 0.000
4 Pd 0.253 0.253 0.500
5 Pd 0.253 0.747 0.500
6 Pd 0.500 0.000 0.000
7 Pd 0.747 0.253 0.500
8 Pd 0.747 0.747 0.500

Results
Space group: P4/mmm (123)
ΔE_f (raw) (eV/atom): -0.603
E (Ha/atom): -0.2139



# 2
The following is a PBE-GGA calculation of crystalline Y2SbPd2 at its relaxed geometry, from Alexandria via LeMat-Bulk.

Lattice parameters (Å, degrees): 8.237 8.237 8.237 152.38 152.38 39.45
Fractional positions:
1 Y 0.112 0.112 0.000
2 Y 0.888 0.888 0.000
3 Sb 0.500 0.500 0.000
4 Pd 0.250 0.750 0.500
5 Pd 0.750 0.250 0.500

Results
Space group: I4/mmm (139)
ΔE_f (raw) (eV/atom): -0.740
E (Ha/atom): -0.2288